DFT (PBE) results for a relaxed Ca4Pa3AgN8 crystal.

a = 7.0830 Å, b = 7.0114 Å, c = 7.0839 Å
α = 120.33°, β = 120.00°, γ = 90.00°
Last column: nearest neighbours and their distance in Å.
Sites, in units of the cell vectors:
Ca1 0.5000 0.0000 0.0000  6 N 2.41
Ca2 0.5000 0.0000 0.5000  6 N 2.58-2.70
Ca3 0.0000 0.0000 0.0000  6 N 2.58-2.70
Ca4 0.0000 0.0000 0.5000  6 N 2.58-2.70
Pa1 0.5000 0.5000 0.0000  6 N 2.30-2.41
Pa2 0.5000 0.5000 0.5000  6 N 2.30-2.41
Pa3 0.0000 0.5000 0.5000  6 N 2.30-2.41
Ag1 0.0000 0.5000 0.0000  6 N 2.60
N1 0.2589 0.7190 0.9600  2 Pa 2.30, 1 Ca 2.41
N2 0.2590 0.7192 0.5181  2 Pa 2.30, 1 Ca 2.41
N3 0.2588 0.2761 0.5175  3 Pa 2.41, 3 Ca 2.58
N4 0.7011 0.7190 0.9600  2 Pa 2.30, 1 Ca 2.41
N5 0.2989 0.2810 0.0400  2 Pa 2.30, 1 Ca 2.41
N6 0.7412 0.7239 0.4825  3 Pa 2.41, 3 Ca 2.58
N7 0.7410 0.2808 0.4819  2 Pa 2.30, 1 Ca 2.41
N8 0.7411 0.2810 0.0400  2 Pa 2.30, 1 Ca 2.41

Properties
- Magnetic moment: 0.00 μB/f.u.
- Space group: No. 166
- Energy relative to the elements, uncorrected: -1893.7 kJ/mol of formula units

DFT (PBE) results for a relaxed Ca2AgPdN crystal.

a = 4.9469 Å, b = 4.9469 Å, c = 4.0474 Å
α = 90.00°, β = 90.00°, γ = 90.00°
Last column: nearest neighbours and their distance in Å.
Sites, in units of the cell vectors:
Ca1 0.0000 0.5000 0.0000  2 N 2.47
Ca2 0.5000 0.0000 0.0000  2 N 2.47
Pd1 0.0000 0.0000 0.5000  2 N 2.02
Ag1 0.5000 0.5000 0.5000  8 Ca 3.20, 4 Pd 3.50
N1 0.0000 0.0000 0.0000  2 Pd 2.02

Properties
- Magnetic moment: 0.00 μB/f.u.
- Space group: No. 123
- Energy relative to the elements, uncorrected: -235.4 kJ/mol of formula units

DFT (PBE) results for a relaxed CaPm2AgN crystal.

a = 4.9548 Å, b = 4.9548 Å, c = 4.9032 Å
α = 90.00°, β = 90.00°, γ = 90.00°
Last column: nearest neighbours and their distance in Å.
Sites, in units of the cell vectors:
Ca1 0.0000 0.0000 0.5000  2 N 2.45
Pm1 0.0000 0.5000 0.0000  2 N 2.48
Pm2 0.5000 0.0000 0.0001  2 N 2.48
Ag1 0.5000 0.5000 0.5001  8 Pm 3.48-3.49, 4 Ca 3.50
N1 0.0000 0.0000 0.9999  2 Ca 2.45, 4 Pm 2.48

Properties
- Magnetic moment: 0.00 μB/f.u.
- Space group: No. 123
- Energy relative to the elements, uncorrected: -284.6 kJ/mol of formula units

DFT (PBE) results for a relaxed CaPr2AgN crystal.

a = 5.0667 Å, b = 5.0667 Å, c = 4.8660 Å
α = 90.00°, β = 90.00°, γ = 90.00°
Last column: nearest neighbours and their distance in Å.
Sites, in units of the cell vectors:
Ca1 0.0000 0.0000 0.4999  2 N 2.43
Pr1 0.0000 0.5000 0.9999  2 N 2.53
Pr2 0.5000 0.0000 0.0000  2 N 2.53
Ag1 0.5000 0.5000 0.5004  8 Pr 3.51, 4 Ca 3.58
N1 0.0000 0.0000 0.9998  2 Ca 2.43, 4 Pr 2.53

Properties
- Magnetic moment: 0.00 μB/f.u.
- Space group: No. 123
- Energy relative to the elements, uncorrected: -263.3 kJ/mol of formula units

DFT (PBE) results for a relaxed Ca2AgRhN crystal.

a = 5.0596 Å, b = 5.0596 Å, c = 3.8418 Å
α = 90.00°, β = 90.00°, γ = 90.00°
Last column: nearest neighbours and their distance in Å.
Sites, in units of the cell vectors:
Ca1 0.0000 0.5000 0.0000  2 N 2.53
Ca2 0.5000 0.0000 0.0000  2 N 2.53
Rh1 0.0000 0.0000 0.5000  2 N 1.92
Ag1 0.5000 0.5000 0.5000  8 Ca 3.18
N1 0.0000 0.0000 0.0000  2 Rh 1.92

Properties
- Magnetic moment: 0.00 μB/f.u.
- Space group: No. 123
- Energy relative to the elements, uncorrected: -263.5 kJ/mol of formula units

DFT (PBE) results for a relaxed CaAgRhN2 crystal.

a = 3.9962 Å, b = 5.0438 Å, c = 3.9962 Å
α = 90.00°, β = 90.00°, γ = 90.00°
Last column: nearest neighbours and their distance in Å.
Sites, in units of the cell vectors:
Ca1 0.5000 0.5000 0.5000  4 Ag 2.83
Rh1 0.0000 0.0000 0.0000  4 N 2.00
Ag1 0.0000 0.5000 0.0000  2 Rh 2.52
N1 0.0000 0.0000 0.5000  2 Rh 2.00
N2 0.5000 0.0000 0.0000  2 Rh 2.00

Properties
- Magnetic moment: 0.00 μB/f.u.
- Space group: No. 123
- Energy relative to the elements, uncorrected: 338.3 kJ/mol of formula units

DFT (PBE) results for a relaxed Ca2AgRuN crystal.

a = 5.0980 Å, b = 5.0980 Å, c = 3.7940 Å
α = 90.00°, β = 90.00°, γ = 90.00°
Last column: nearest neighbours and their distance in Å.
Sites, in units of the cell vectors:
Ru1 0.0000 0.0000 0.5000  2 N 1.90
Ca1 0.0000 0.5000 0.0000  2 N 2.55
Ca2 0.5000 0.0000 0.0000  2 N 2.55
Ag1 0.5000 0.5000 0.5000  8 Ca 3.18
N1 0.0000 0.0000 0.0000  2 Ru 1.90

Properties
- Magnetic moment: 0.00 μB/f.u.
- Space group: No. 123
- Energy relative to the elements, uncorrected: -218.0 kJ/mol of formula units

DFT (PBE) results for a relaxed CaAgSe2N crystal.

a = 5.4738 Å, b = 5.4738 Å, c = 4.3766 Å
α = 90.00°, β = 90.00°, γ = 90.00°
Last column: nearest neighbours and their distance in Å.
Sites, in units of the cell vectors:
Ca1 0.0000 0.0000 0.0000  2 N 2.19
Se1 0.0000 0.5000 0.0000  2 Ca 2.74
Se2 0.5000 0.0000 0.0000  2 Ca 2.74
Ag1 0.5000 0.5000 0.5000  8 Se 3.50, 4 N 3.87
N1 0.0000 0.0000 0.5000  2 Ca 2.19

Properties
- Magnetic moment: 0.26 μB/f.u.
- Space group: No. 123
- Energy relative to the elements, uncorrected: 403.0 kJ/mol of formula units

DFT (PBE) results for a relaxed CaAgSe2N crystal.

a = 5.2603 Å, b = 5.2603 Å, c = 4.0724 Å
α = 90.00°, β = 90.00°, γ = 90.00°
Last column: nearest neighbours and their distance in Å.
Sites, in units of the cell vectors:
Ca1 0.5000 0.5000 0.5000  8 Se 3.33, 4 N 3.72
Se1 0.0000 0.5000 0.0000  2 Ag 2.63
Se2 0.5000 0.0000 0.0000  2 Ag 2.63
Ag1 0.0000 0.0000 0.0000  2 N 2.04
N1 0.0000 0.0000 0.5000  2 Ag 2.04

Properties
- Magnetic moment: 1.75 μB/f.u.
- Space group: No. 123
- Energy relative to the elements, uncorrected: 103.1 kJ/mol of formula units

DFT (PBE) results for a relaxed CaSm2AgN crystal.

a = 4.9160 Å, b = 4.9159 Å, c = 4.9174 Å
α = 90.00°, β = 90.00°, γ = 90.00°
Last column: nearest neighbours and their distance in Å.
Sites, in units of the cell vectors:
Ca1 0.0000 0.0000 0.4999  2 N 2.46
Sm1 0.0000 0.5000 0.9999  2 N 2.46
Sm2 0.5000 0.0000 0.0000  2 N 2.46
Ag1 0.5000 0.5000 0.5003  8 Sm 3.47-3.48, 4 Ca 3.48
N1 0.0000 0.0000 0.9999  4 Sm 2.46, 2 Ca 2.46

Properties
- Magnetic moment: 0.00 μB/f.u.
- Space group: No. 123
- Energy relative to the elements, uncorrected: -290.6 kJ/mol of formula units

DFT (PBE) results for a relaxed Sr2CaAgN crystal.

a = 5.2877 Å, b = 5.2877 Å, c = 4.8653 Å
α = 90.00°, β = 90.00°, γ = 90.00°
Last column: nearest neighbours and their distance in Å.
Sites, in units of the cell vectors:
Sr1 0.0000 0.5000 0.0000  2 N 2.64
Sr2 0.5000 0.0000 0.0000  2 N 2.64
Ca1 0.0000 0.0000 0.5000  2 N 2.43
Ag1 0.5000 0.5000 0.5000  8 Sr 3.59, 4 Ca 3.74
N1 0.0000 0.0000 0.0000  2 Ca 2.43, 4 Sr 2.64

Properties
- Magnetic moment: 0.00 μB/f.u.
- Space group: No. 123
- Energy relative to the elements, uncorrected: -214.6 kJ/mol of formula units

DFT (PBE) results for a relaxed SrCa2AgN crystal.

a = 4.8891 Å, b = 4.8891 Å, c = 5.2933 Å
α = 90.00°, β = 90.00°, γ = 90.00°
Last column: nearest neighbours and their distance in Å.
Sites, in units of the cell vectors:
Sr1 0.0000 0.0000 0.5000  2 N 2.65
Ca1 0.0000 0.5000 0.0000  2 N 2.44
Ca2 0.5000 0.0000 0.0000  2 N 2.44
Ag1 0.5000 0.5000 0.5000  4 Sr 3.46, 8 Ca 3.60
N1 0.0000 0.0000 0.0000  4 Ca 2.44, 2 Sr 2.65

Properties
- Magnetic moment: 0.00 μB/f.u.
- Space group: No. 123
- Energy relative to the elements, uncorrected: -242.0 kJ/mol of formula units

DFT (PBE) results for a relaxed Ca2TcAgN crystal.

a = 5.0272 Å, b = 5.0272 Å, c = 3.8810 Å
α = 90.00°, β = 90.00°, γ = 90.00°
Last column: nearest neighbours and their distance in Å.
Sites, in units of the cell vectors:
Ca1 0.0000 0.5000 0.0000  2 N 2.51
Ca2 0.5000 0.0000 0.0000  2 N 2.51
Tc1 0.0000 0.0000 0.5000  2 N 1.94
Ag1 0.5000 0.5000 0.5000  8 Ca 3.18, 4 Tc 3.55
N1 0.0000 0.0000 0.0000  2 Tc 1.94

Properties
- Magnetic moment: 0.00 μB/f.u.
- Space group: No. 123
- Energy relative to the elements, uncorrected: -166.2 kJ/mol of formula units